# 1
A plane-wave DFT calculation with PBEsol was carried out for MoPIr2 after structural relaxation.

Computed properties:
The density comes out at 15.139 g/cm3. As for the density of states at the Fermi level: 6.73 states/eV per cell. Its calculated formation energy is 0.046 eV/atom. For the total magnetic moment, the calculation gives 0.00 Bohr magnetons per cell.

abc: 5.2792 7.6682 2.7710
angles: 90.00 90.00 90.00
Space group Cmmm (No. 65)
Unique sites:
Mo: 0.0000 0.0000 0.0000 [2 per cell]
P: 0.0000 0.5000 0.0000 [2 per cell]
Ir: 0.2500 0.2500 0.5000 [4 per cell]

# 2
A plane-wave DFT calculation with PBEsol was carried out for Zn2IrRh after structural relaxation.

Computed properties:
The density comes out at 13.338 g/cm3. As for the density of states at the Fermi level: 3.71 states/eV per cell. Its calculated formation energy is -0.237 eV/atom. For the total magnetic moment, the calculation gives 0.00 Bohr magnetons per cell.

abc: 4.2248 4.2248 2.9708
angles: 90.00 90.00 90.00
Space group P4/mmm (No. 123)
Unique sites:
Zn: 0.0000 0.5000 0.0000 [2 per cell]
Ir: 0.0000 0.0000 0.5000 [1 per cell]
Rh: 0.5000 0.5000 0.5000 [1 per cell]

# 3
A plane-wave DFT calculation with PBEsol was carried out for BaBeAs after structural relaxation.

Computed properties:
For the excess energy over the best structure of this formula in the dataset, the calculation gives 0 meV per atom. The density comes out at 4.280 g/cm3. As for the density of states at the Fermi level: 9.72 states/eV per cell. Its calculated formation energy is 0.175 eV/atom. For the total magnetic moment, the calculation gives 0.00 Bohr magnetons per cell.

abc: 7.0026 7.0026 7.0026
angles: 90.00 90.00 90.00
Space group F-43m (No. 216)
Unique sites:
Ba: 0.0000 0.0000 0.0000 [4 per cell]
Be: 0.0000 0.0000 0.5000 [4 per cell]
As: 0.2500 0.2500 0.2500 [4 per cell]

# 4
A plane-wave DFT calculation with PBEsol was carried out for KP2H4O8 after structural relaxation.

Computed properties:
The density comes out at 2.100 g/cm3. As for the energy: -370.05 eV for the cell shown. For the total magnetic moment, the calculation gives 3.85 Bohr magnetons per cell.

abc: 7.6726 11.6208 9.2377
angles: 90.00 116.50 90.00
Space group P2_1/c (No. 14)
Unique sites:
K: 0.2362 0.1071 0.2791 [4 per cell]
P: 0.0797 0.0808 0.6754 [4 per cell]
P: 0.3362 0.7084 0.6859 [4 per cell]
H: 0.0281 0.6823 0.6357 [4 per cell]
H: 0.2341 0.5937 0.2762 [4 per cell]
H: 0.3995 0.7231 0.4618 [4 per cell]
H: 0.4129 0.0946 0.6684 [4 per cell]
O: 0.0889 0.1838 0.7824 [4 per cell]
O: 0.1193 0.6794 0.5756 [4 per cell]
O: 0.1405 0.5697 0.9421 [4 per cell]
O: 0.1429 0.5296 0.2833 [4 per cell]
O: 0.2071 0.1025 0.5879 [4 per cell]
O: 0.3607 0.6955 0.3077 [4 per cell]
O: 0.4323 0.5945 0.7774 [4 per cell]
O: 0.4413 0.7479 0.5860 [4 per cell]

# 5
A plane-wave DFT calculation with PBEsol was carried out for TaP2RuS after structural relaxation.

Computed properties:
Its uncorrected formation energy is 0.9556 eV per atom. The density comes out at 6.060 g/cm3. As for the density of states at the Fermi level: 5.09 states/eV per cell. For the total magnetic moment, the calculation gives 2.35 Bohr magnetons per cell.

abc: 4.7348 4.7348 4.5958
angles: 90.00 90.00 90.00
Space group P4/mmm (No. 123)
Unique sites:
Ta: 0.0000 0.0000 0.0000 [1 per cell]
P: 0.0000 0.5000 0.0000 [2 per cell]
Ru: 0.5000 0.5000 0.5000 [1 per cell]
S: 0.0000 0.0000 0.5000 [1 per cell]

# 6
A plane-wave DFT calculation with PBEsol was carried out for ScCuCl after structural relaxation.

Computed properties:
Its uncorrected formation energy is -0.2513 eV per atom. The density comes out at 4.044 g/cm3. As for the density of states at the Fermi level: 12.11 states/eV per cell. For the total magnetic moment, the calculation gives 2.67 Bohr magnetons per cell.

abc: 6.1837 6.1837 6.1837
angles: 90.00 90.00 90.00
Space group F-43m (No. 216)
Unique sites:
Sc: 0.0000 0.0000 0.0000 [4 per cell]
Cu: 0.2500 0.2500 0.2500 [4 per cell]
Cl: 0.2500 0.2500 0.7500 [4 per cell]

# 7
A plane-wave DFT calculation with PBEsol was carried out for BaCa2Zr after structural relaxation.

Computed properties:
The density comes out at 3.697 g/cm3. As for the density of states at the Fermi level: 18.50 states/eV per cell. Its calculated formation energy is 0.355 eV/atom. For the total magnetic moment, the calculation gives 0.01 Bohr magnetons per cell.

abc: 3.6080 3.6080 36.9009
angles: 90.00 90.00 120.00
Space group R-3m (No. 166, hexagonal axes)
Unique sites:
Ba: 0.0000 0.0000 0.0000 [3 per cell]
Ca: 0.0000 0.0000 0.2393 [6 per cell]
Zr: 0.0000 0.0000 0.5000 [3 per cell]

# 8
A plane-wave DFT calculation with PBEsol was carried out for La2ScAl after structural relaxation.

Computed properties:
The density comes out at 5.491 g/cm3. As for the density of states at the Fermi level: 5.03 states/eV per cell. Its calculated formation energy is -0.161 eV/atom. For the total magnetic moment, the calculation gives 0.00 Bohr magnetons per cell.

abc: 4.6831 4.6831 4.8230
angles: 90.00 90.00 90.00
Space group P4/mmm (No. 123)
Unique sites:
La: 0.0000 0.5000 0.0000 [2 per cell]
Sc: 0.0000 0.0000 0.5000 [1 per cell]
Al: 0.5000 0.5000 0.5000 [1 per cell]

Q: Which of these has the lowest density?
A: KP2H4O8

Q: What is the total magnetic moment in the second record?
A: 0.00 Bohr magnetons per cell

Q: What is the density in the sixth record?
A: 4.044 g/cm3

Q: Which value of density does entry 2 give?
A: 13.338 g/cm3